LiAcInAu: relaxed, PBE-GGA.

Calculated formation energy (meV/atom): -521.0
E_tot (eV per atom): -3.531
Spin magnetization (μB/cell): 0.00
Density of states at the Fermi level (states/eV per atom): 0.43

a b c (Å): 4.8804 4.8804 14.7197
angles (deg): 90.00 90.00 120.00
Space group R3m (No. 160, hexagonal axes)
Asymmetric unit:
Li 0.0000 0.0000 0.0000 [3 per cell]
Ac 0.0000 0.0000 0.2086 [3 per cell]
In 0.0000 0.0000 0.7047 [3 per cell]
Au 0.0000 0.0000 0.4231 [3 per cell]